No. 1
A relaxed Ta3AlPb crystal. Source: Alexandria, functional PBE.

Values from the calculation:
Formation energy from the elements (eV/atom): 1.2651
Space-group type: Pm-3m
Energy above the most stable polymorph in this dataset (eV per atom): 0.000
E_tot (eV per atom): -7.3366
Theoretical density (g cm⁻³): 11.9

Cell: 4.7705 4.7705 4.7705 Å, 90.00 90.00 90.00°
Sites, in units of the cell vectors:
Pb (0.5000, 0.5000, 0.5000)
Ta (0.5000, 0.0000, 0.0000)
Al (0.0000, 0.0000, 0.0000)
Ta (0.0000, 0.0000, 0.5000)
Ta (0.0000, 0.5000, 0.0000)

***

No. 2
A relaxed PuU2Se6 crystal. Source: Alexandria, functional PBE.

Values from the calculation:
Space-group type: C2/m
E_form (uncorrected) (eV/atom): -1.09
E_tot (eV per atom): -7.5114
Theoretical density (g cm⁻³): 7.1

Cell: 5.3781 7.5168 7.9555 Å, 73.49 70.24 69.04°
Sites, in units of the cell vectors:
U (0.1824, 0.7413, 0.8940)
Se (0.3729, 0.7078, 0.5464)
Se (0.7429, 0.6397, 0.8744)
Se (0.6271, 0.2922, 0.4536)
Se (0.9574, 0.8598, 0.2253)
U (0.8176, 0.2587, 0.1060)
Pu (0.0000, 0.5000, 0.5000)
Se (0.2571, 0.3603, 0.1256)
Se (0.0426, 0.1402, 0.7747)

***

No. 3
A relaxed K2PrB2S6 crystal. Source: Alexandria, functional PBE.

Values from the calculation:
Space-group type: C2/m
E_form (uncorrected) (eV/atom): -0.95
E_tot (eV per atom): -5.0538
Theoretical density (g cm⁻³): 2.5

Cell: 6.6858 6.7383 8.5078 Å, 114.75 90.00 119.74°
Sites, in units of the cell vectors:
K (0.6998, 0.3995, 0.1868)
Pr (0.5000, 0.0000, 0.5000)
S (0.7705, 0.5411, 0.6430)
B (0.9445, 0.8891, 0.7301)
S (0.8068, 0.0754, 0.7838)
S (0.1932, 0.9246, 0.2162)
S (0.7314, 0.9246, 0.2162)
K (0.3002, 0.6005, 0.8132)
S (0.2295, 0.4589, 0.3570)
B (0.0555, 0.1109, 0.2699)
S (0.2686, 0.0754, 0.7838)

***

No. 4
A relaxed ZrSnTeN2 crystal. Source: Alexandria, functional PBE.

Values from the calculation:
Space-group type: P4/mmm
Energy above the most stable polymorph in this dataset (eV per atom): 0.743
E_form (uncorrected) (eV/atom): 1.04
E_tot (eV per atom): -5.4313
Theoretical density (g cm⁻³): 6.2

Cell: 4.1566 4.1566 5.6974 Å, 90.00 90.00 90.00°
Sites, in units of the cell vectors:
Sn (0.0000, 0.0000, 0.0000)
Te (0.0000, 0.0000, 0.5000)
Zr (0.5000, 0.5000, 0.5000)
N (0.5000, 0.0000, 0.0000)
N (0.0000, 0.5000, 0.0000)

***

No. 5
A relaxed Ho2Pt5Rh crystal. Source: Alexandria, functional PBE.

Values from the calculation:
Formation energy from the elements (eV/atom): -0.9719
Space-group type: Pbam
E_tot (eV per atom): -6.8108
Theoretical density (g cm⁻³): 17.0

Cell: 4.0837 5.8000 11.6025 Å, 90.00 90.00 90.00°
Sites, in units of the cell vectors:
Ho (0.5000, 0.7448, 0.8764)
Pt (0.0000, 0.4960, 0.7505)
Pt (0.0000, 0.9960, 0.7495)
Pt (0.0000, 0.5000, 0.5000)
Rh (0.0000, 0.5000, 0.0000)
Ho (0.5000, 0.2552, 0.1236)
Ho (0.5000, 0.7552, 0.3764)
Pt (0.5000, 0.2519, 0.3758)
Pt (0.0000, 0.0000, 0.0000)
Pt (0.0000, 0.5040, 0.2495)
Pt (0.5000, 0.7519, 0.1242)
Pt (0.0000, 0.0040, 0.2505)
Pt (0.5000, 0.7481, 0.6242)
Ho (0.5000, 0.2448, 0.6236)
Pt (0.5000, 0.2481, 0.8758)
Rh (0.0000, 0.0000, 0.5000)

***

No. 6
A relaxed CaEr2HfP4 crystal. Source: Alexandria, functional PBE.

Values from the calculation:
Formation energy from the elements (eV/atom): -1.3841
Space-group type: P2/m
E_tot (eV per atom): -6.7242
Theoretical density (g cm⁻³): 6.6

Cell: 3.9137 6.8351 6.7505 Å, 109.04 90.00 90.00°
Sites, in units of the cell vectors:
Ca (0.5000, 0.5000, 0.0000)
P (0.0000, 0.2364, 0.7522)
Hf (0.0000, 0.0000, 0.0000)
Er (0.0000, 0.5000, 0.5000)
P (0.5000, 0.7646, 0.7607)
P (0.5000, 0.2354, 0.2393)
Er (0.5000, 0.0000, 0.5000)
P (0.0000, 0.7636, 0.2478)

***

No. 7
A relaxed BaMoRh2 crystal. Source: Alexandria, functional PBE.

Values from the calculation:
Formation energy from the elements (eV/atom): 0.1527
Space-group type: Pmmm
Energy above the most stable polymorph in this dataset (eV per atom): 0.028
E_tot (eV per atom): -6.7114
Theoretical density (g cm⁻³): 8.9

Cell: 3.2512 3.1822 8.5390 Å, 68.08 90.00 90.00°
Sites, in units of the cell vectors:
Rh (0.0000, 0.4259, 0.5741)
Ba (0.5000, 0.2500, 0.2500)
Mo (0.5000, 0.7500, 0.7500)
Rh (0.0000, 0.0741, 0.9259)

***

No. 8
A relaxed P2RuSeN crystal. Source: Alexandria, functional PBE.

Values from the calculation:
Space-group type: P1
Energy above the most stable polymorph in this dataset (eV per atom): 0.049
E_form (uncorrected) (eV/atom): -0.02
E_tot (eV per atom): -6.3969
Theoretical density (g cm⁻³): 5.4

Cell: 4.0589 4.7193 4.7526 Å, 62.53 79.22 80.90°
Sites, in units of the cell vectors:
P (0.8118, 0.3903, 0.6481)
Ru (0.3219, 0.5241, 0.3038)
P (0.9837, 0.8085, 0.9002)
Se (0.3145, 0.9789, 0.4073)
N (0.7356, 0.5599, 0.9026)